No. 1
Er2ScCd3 after structural relaxation, computed with PBE.

Output
As for the crystal system: tetragonal. The energy above the most stable polymorph in this dataset comes out at 0 meV per atom. The calculation puts the total energy at -3.337 eV/atom. The total magnetization comes out at 0.00 μB per atom. The calculation puts the formation energy from the elements at -0.304 eV/atom.

Unit cell a=3.6525 b=3.6525 c=10.9859 alpha=90.00 beta=90.00 gamma=90.00
Last column: nearest neighbours and their distance in Å.
Space group P4/mmm (No. 123)
Asymmetric unit:
Er1 0.0000 0.0000 0.1719 [2 per cell]  8 Cd 3.20-3.22
Sc1 0.0000 0.0000 0.5000 [1 per cell]  8 Cd 3.08
Cd1 0.5000 0.5000 0.0000 [1 per cell]  8 Er 3.20
Cd2 0.5000 0.5000 0.3471 [2 per cell]  4 Sc 3.08, 4 Er 3.22, 1 Cd 3.36

=====

No. 2
CeNpRh4 after structural relaxation, computed with PBE.

Output
As for the crystal system: cubic. The calculation puts the total energy at -8.572 eV/atom. The total magnetization comes out at 0.67 μB per atom. The calculation puts the formation energy from the elements at -0.526 eV/atom.

Unit cell a=7.5433 b=7.5433 c=7.5433 alpha=90.00 beta=90.00 gamma=90.00
Last column: nearest neighbours and their distance in Å.
Space group F-43m (No. 216)
Asymmetric unit:
Ce1 0.0000 0.0000 0.0000 [4 per cell]  12 Rh 3.13, 4 Np 3.27
Np1 0.2500 0.2500 0.7500 [4 per cell]  12 Rh 3.13, 4 Ce 3.27
Rh1 0.1247 0.1247 0.3753 [16 per cell]  6 Rh 2.66-2.67

=====

No. 3
Mg2BiPd7 after structural relaxation, computed with PBE.

Output
As for the crystal system: orthorhombic. The calculation puts the total energy at -4.274 eV/atom. The total magnetization comes out at 0.00 μB per atom. The calculation puts the formation energy from the elements at 0.068 eV/atom.

Unit cell a=7.3266 b=13.2124 c=4.3644 alpha=90.00 beta=90.00 gamma=90.00
Last column: nearest neighbours and their distance in Å.
Space group Cmmm (No. 65)
Asymmetric unit:
Mg1 0.0000 0.1989 0.0000 [4 per cell]  5 Pd 2.54-2.63
Bi1 0.0000 0.5000 0.5000 [2 per cell]  10 Pd 2.67-2.95
Pd1 0.0000 0.0000 0.0000 [2 per cell]  2 Mg 2.63, 4 Pd 2.71
Pd2 0.0000 0.2978 0.5000 [4 per cell]  2 Mg 2.54, 1 Bi 2.67
Pd3 0.1860 0.3912 0.0000 [8 per cell]  2 Mg 2.59-2.88, 5 Pd 2.71-2.88

=====

No. 4
SiPt2Pb after structural relaxation, computed with PBE.

Output
As for the crystal system: monoclinic. The calculation puts the total energy at -5.618 eV/atom. The formation energy without anion corrections comes out at -0.3143 eV per atom. The total magnetization comes out at 0.00 μB per atom.

Unit cell a=14.2045 b=3.3551 c=3.3583 alpha=90.00 beta=103.55 gamma=90.00
Last column: nearest neighbours and their distance in Å.
Space group Cm (No. 8)
Asymmetric unit:
Si1 0.0000 0.0000 0.0000 [2 per cell]  6 Pt 2.40-2.50
Pt1 0.1239 0.5000 0.1244 [2 per cell]  2 Si 2.40
Pt2 0.4443 0.0000 0.4436 [2 per cell]  4 Si 2.49-2.50
Pb1 0.2571 0.0000 0.7568 [2 per cell]  6 Pt 3.00-3.09, 4 Pb 3.36

=====

No. 5
Ho5Bi5Ir after structural relaxation, computed with PBE.

Output
As for the crystal system: monoclinic. The calculation puts the total energy at -5.182 eV/atom. The total magnetization comes out at 0.00 μB per atom. The calculation puts the formation energy from the elements at -0.532 eV/atom.

Unit cell a=13.2023 b=6.1580 c=9.5862 alpha=90.00 beta=117.67 gamma=90.00
Last column: nearest neighbours and their distance in Å.
Space group C2/m (No. 12)
Asymmetric unit:
Ho1 0.0000 0.0000 0.0000 [2 per cell]  2 Ir 3.08, 4 Bi 3.14-3.16
Ho2 0.1514 0.5000 0.8793 [4 per cell]  1 Ir 2.73
Ho3 0.1763 0.5000 0.2946 [4 per cell]  1 Ir 2.70
Bi1 0.0000 0.5000 0.5000 [2 per cell]  2 Ho 3.24, 2 Bi 3.33
Bi2 0.1148 0.0000 0.7774 [4 per cell]  5 Ho 3.14-3.31
Bi3 0.2156 0.0000 0.3361 [4 per cell]  5 Ho 3.12-3.27, 1 Bi 3.33
Ir1 0.0000 0.5000 0.0000 [2 per cell]  4 Ho 2.70-2.73

=====

No. 6
CrCu2As after structural relaxation, computed with PBE.

Output
As for the crystal system: orthorhombic. The calculation puts the total energy at -5.445 eV/atom. The total magnetization comes out at 0.91 μB per atom. The calculation puts the formation energy from the elements at 0.171 eV/atom.

Unit cell a=3.8583 b=3.8772 c=7.4338 alpha=90.00 beta=90.00 gamma=90.00
Last column: nearest neighbours and their distance in Å.
Space group Imm2 (No. 44)
Asymmetric unit:
Cr1 0.0000 0.0000 0.0000 [2 per cell]  4 As 2.68-2.69, 8 Cu 2.68-2.73
Cu1 0.0000 0.0000 0.5017 [2 per cell]  4 As 2.67-2.69, 4 Cu 2.68, 4 Cr 2.73
Cu2 0.0000 0.5000 0.7509 [2 per cell]  4 Cu 2.68, 4 Cr 2.68, 4 As 2.73
As1 0.0000 0.5000 0.2503 [2 per cell]  8 Cu 2.67-2.73, 4 Cr 2.68-2.69